## TmZnHg3 (PBE)

Data for crystalline TmZnHg3 at its relaxed geometry.

Results
As for the density of states at the Fermi level: 3.72 states/eV/cell. The crystal system is monoclinic. The value obtained for the formation energy is -0.733 eV/f.u. The value obtained for the volume is 23.2 A^3/atom. The symmetry is C2/m.

Unit cell a=6.0663 b=4.4055 c=10.2196 alpha=102.45 beta=118.75 gamma=90.00
Closest atoms and distances in Å follow each position.
Atoms (fractional coordinates):
Tm 0.0095 0.4061 0.8122  6 Hg 3.03-3.27, 2 Zn 3.29
Tm 0.9905 0.5939 0.1878  6 Hg 3.03-3.27, 2 Zn 3.29
Hg 0.4473 0.3557 0.7114  3 Zn 2.83-2.92, 4 Hg 3.01-3.02, 1 Tm 3.04
Hg 0.5527 0.6443 0.2886  3 Zn 2.83-2.92, 4 Hg 3.01-3.02, 1 Tm 3.04
Hg 0.9377 0.1896 0.3791  1 Zn 2.77, 4 Hg 3.01-3.07, 2 Tm 3.03
Hg 0.0623 0.8104 0.6209  1 Zn 2.77, 4 Hg 3.01-3.07, 2 Tm 3.03
Hg 0.2993 0.0272 0.0545  4 Hg 3.02-3.24, 2 Tm 3.10, 1 Zn 3.26
Hg 0.7007 0.9728 0.9455  4 Hg 3.02-3.24, 2 Tm 3.10, 1 Zn 3.26
Zn 0.4168 0.2051 0.4101  2 Zn 2.70, 4 Hg 2.77-2.92
Zn 0.5832 0.7949 0.5899  2 Zn 2.70, 4 Hg 2.77-2.92